CaYF2: PBEsol geometry, meta-GGA SCAN.

Lattice parameters (Å, degrees): 3.812 3.812 6.518 73.00 73.00 60.00
Last column: magnetic moment on the atom in μB.
Sites, in units of the cell vectors:
Y1 0.000 0.000 0.000  0.32
Ca1 0.500 0.500 0.500  0.07
F1 0.877 0.877 0.369  0.02
F2 0.123 0.123 0.631  0.02

Properties
SG = R-3m (166)
Formation energy without anion corrections = -2935 meV per atom

CaZrF6: PBEsol geometry, meta-GGA SCAN.

Lattice parameters (Å, degrees): 6.015 6.015 6.015 60.00 60.00 60.00
Sites, in units of the cell vectors:
Ca1 0.500 0.500 0.500
Zr1 0.000 0.000 0.000
F1 0.764 0.764 0.236
F2 0.764 0.236 0.764
F3 0.236 0.764 0.236
F4 0.236 0.236 0.764
F5 0.764 0.236 0.236
F6 0.236 0.764 0.764

Properties
SG = Fm-3m (225)
Formation energy without anion corrections = -4059 meV per atom

CaZr3F: PBEsol geometry, meta-GGA SCAN.

Lattice parameters (Å, degrees): 4.670 4.670 4.670 90.00 90.00 90.00
Last column: magnetic moment on the atom in μB.
Sites, in units of the cell vectors:
Ca1 0.500 0.500 0.500  0.02
Zr1 0.000 0.500 0.000  0.22
Zr2 0.000 0.000 0.500  0.22
Zr3 0.500 0.000 0.000  0.22
F1 0.000 0.000 0.000  0.01

Properties
SG = Pm-3m (221)
Formation energy without anion corrections = -455 meV per atom

Ca5Fe: PBEsol geometry, meta-GGA SCAN.

Lattice parameters (Å, degrees): 5.006 5.274 7.776 90.00 108.78 90.00
Last column: magnetic moment on the atom in μB.
Sites, in units of the cell vectors:
Ca1 0.344 0.500 0.688  -0.03
Ca2 0.147 0.000 0.294  -0.05
Ca3 0.000 0.500 0.000  -0.07
Ca4 0.853 0.000 0.706  -0.05
Ca5 0.656 0.500 0.312  -0.03
Fe1 0.500 0.000 0.000  3.03

Properties
SG = Cmmm (65)
Energy of formation = 321 meV per atom

CaFe: PBEsol geometry, meta-GGA SCAN.

Lattice parameters (Å, degrees): 3.131 3.131 5.040 71.91 71.91 60.00
Last column: magnetic moment on the atom in μB.
Sites, in units of the cell vectors:
Ca1 0.000 0.000 0.000  -0.16
Fe1 0.500 0.500 0.500  3.00

Properties
SG = R-3m (166)
Energy of formation = 908 meV per atom

Ca2Fe: PBEsol geometry, meta-GGA SCAN.

Lattice parameters (Å, degrees): 3.588 3.588 7.446 90.00 90.00 120.00
Last column: magnetic moment on the atom in μB.
Sites, in units of the cell vectors:
Ca1 0.333 0.667 0.270  -0.09
Ca2 0.667 0.333 0.730  -0.09
Fe1 0.000 0.000 0.000  2.88

Properties
SG = P-3m1 (164)
Energy of formation = 648 meV per atom

Electronic total energy, record by record: -14.082, -11.759, -21.515, -10.753, -12.989, -11.837 eV per atom